Below is a relaxed structure of BaPm2Fe2O7, with properties calculated at the GGA+U level.

Computed properties:
Space group ... Imm2
Final energy ... -85.88 eV per formula unit
Fermi-level density of states ... 0.000 states/eV per atom
Magnetization ... 0.8314 μB/atom

Cell lengths 3.5718, 5.0351, 10.4511 Å; angles 103.94, 99.84, 90.00 degrees
Last column: magnetic moment on the atom in μB.
Fractional coordinates of all 12 atoms:
Ba 0.0000 0.0468 0.0000  0.01
Pm 0.3010 0.8945 0.6021  0.02
Pm 0.6990 0.2924 0.3979  0.02
Fe 0.4054 0.4397 0.8108  4.25
Fe 0.5946 0.6289 0.1892  4.25
O 0.4038 0.8019 0.8076  0.20
O 0.7316 0.8303 0.4631  0.03
O 0.1221 0.4966 0.2442  0.20
O 0.5962 0.9943 0.1924  0.20
O 0.2684 0.3672 0.5369  0.03
O 0.8779 0.2523 0.7558  0.20
O 0.5000 0.4547 0.0000  0.26